No. 1
18
Lattice="2.7793 -12.2426 0.0000 2.7793 12.2426 0.0000 0.0000 0.0000 9.4916" Properties=species:S:1:pos:R:3 comment="AcNd5Ho2Tm (GGA-PBE, relaxed)" spacegroup="Cmc2_1 (36)" e_tot_ev_per_fu=-40.28 pbc="T T T"
Ac 2.7793 9.7404 4.7458
Ac 2.7793 -9.7404 0.0000
Nd 2.7793 11.6428 7.8627
Nd 2.7793 9.6188 0.9978
Nd 2.7793 7.5854 7.5499
Nd 2.7793 6.3314 4.1276
Nd 2.7793 0.2595 5.8061
Nd 2.7793 -0.2595 1.0603
Nd 2.7793 -6.3314 8.8733
Nd 2.7793 -7.5854 2.8041
Nd 2.7793 -9.6188 5.7435
Nd 2.7793 -11.6428 3.1169
Ho 2.7793 4.2765 7.1180
Ho 2.7793 2.7531 3.3862
Ho 2.7793 -2.7531 8.1320
Ho 2.7793 -4.2765 2.3722
Tm 2.7793 5.8041 1.0270
Tm 2.7793 -5.8041 5.7727

No. 2
5
Lattice="5.4527 0.0000 0.0000 0.0000 5.4527 0.0000 0.0000 0.0000 7.7446" Properties=species:S:1:pos:R:3 comment="CsHf2SbI (GGA-PBE, relaxed)" spacegroup="P4/mmm (123)" raw_formation_energy_ev_per_atom=0.621 e_tot_ev_per_fu=-23.33 pbc="T T T"
Cs 0.0000 0.0000 0.0000
Hf 0.0000 2.7263 3.8723
Hf 2.7263 0.0000 3.8723
Sb 0.0000 0.0000 3.8723
I 2.7263 2.7263 0.0000